Below is a relaxed Nd2Sm3Y5 crystal, with properties calculated at the PBE level.

It has space group Ibam (No. 72), with a = 9.4185 Å, b = 22.0428 Å, c = 6.9026 Å, α = 90.00°, β = 90.00° and γ = 90.00°. The distinct sites, in fractional coordinates, are Nd at (0.1008, 0.1214, 0.0000), Sm at (0.0000, 0.0000, 0.2500), Sm at (0.2483, 0.3727, 0.0000), Y at (0.0000, 0.2476, 0.2500), Y at (0.0000, 0.5000, 0.2500) and Y at (0.0891, 0.3722, 0.5000).

The volume comes out at 1433.0 Å³ per cell. Its calculated total energy is -52.05 eV/f.u. The calculation puts the distance to the lowest polymorph of the same formula at 0.221 eV per atom. The value obtained for the formation enthalpy at 0 K is 396 meV per atom.